Crystalline Y3MoO6 at its relaxed geometry. Source: Alexandria, functional PBE+U.

abc: 6.6530 6.6530 6.6530
angles: 92.08 92.08 92.08
Positions (direct):
Y 0.0602 0.5684 0.7531
Y 0.2469 0.9398 0.4316
Y 0.4316 0.2469 0.9398
Y 0.5684 0.7531 0.0602
Y 0.7531 0.0602 0.5684
Y 0.9398 0.4316 0.2469
Mo 0.0000 0.0000 0.0000
Mo 0.5000 0.5000 0.5000
O 0.0341 0.9038 0.6899
O 0.0962 0.3101 0.9659
O 0.1904 0.5901 0.4307
O 0.3101 0.9659 0.0962
O 0.4099 0.5693 0.8096
O 0.4307 0.1904 0.5901
O 0.5693 0.8096 0.4099
O 0.5901 0.4307 0.1904
O 0.6899 0.0341 0.9038
O 0.8096 0.4099 0.5693
O 0.9038 0.6899 0.0341
O 0.9659 0.0962 0.3101

Properties
- space group = R-3 (148)
- E above lowest polymorph (meV per atom) = 0